(1)
CaSiAu (GGA-PBE, optimized geometry); formation energy without anion corrections = -0.65 eV per atom
1.0
-3.2576 -6.1909 2.0047
1.5734 -1.9977 -3.6125
9.5152 4.0224 1.9198
Au Ca Si
4 4 4
Cartesian
0.1293 -4.8494 0.0367
2.1574 -0.3291 1.1216
4.1002 -1.8393 2.8029
7.7016 0.6833 0.2752
2.8344 -3.4468 0.4393
-0.5477 -1.7317 0.7190
4.9965 -0.7193 -0.1273
6.8053 -0.4367 3.2054
0.3901 -4.1965 2.4905
1.8966 -0.9820 -1.3322
5.8675 2.0281 1.4340
5.9344 -3.1841 1.6441



(2)
CaSiAu (GGA-PBE, optimized geometry); formation energy without anion corrections = -0.20 eV per atom
1.0
-0.5054 5.0394 -0.4860
-4.6612 1.6325 1.2226
3.8255 -2.6428 2.0660
Au Si Ca
1 1 1
Cartesian
-0.0886 0.1144 0.0126
-1.6600 2.1437 0.2367
-3.4180 4.4138 0.4873



(3)
Ca2SiAu (GGA-PBE, optimized geometry); formation energy without anion corrections = -0.55 eV per atom
1.0
-1.3604 -2.5162 4.3510
-0.7163 -2.8472 -1.8705
4.9116 -1.6266 0.5951
Au Ca Si
1 2 1
Cartesian
3.1434 -4.4526 1.5237
4.2241 -1.7843 0.2889
1.0597 -2.2199 2.1633
1.4170 -2.3967 -0.9429



(4)
Ca2SiAu7 (GGA-PBE, optimized geometry); formation energy without anion corrections = -0.39 eV per atom
1.0
-2.0241 2.6128 2.2087
-2.7025 -2.7948 0.8295
7.1110 -3.6577 10.8438
Au Ca Si
7 2 1
Cartesian
3.3007 -3.7902 7.5087
1.1922 -1.9199 6.9410
0.0000 0.0000 0.0000
0.0173 0.7769 2.6740
4.7305 -4.5257 9.6889
1.4470 0.0415 4.8542
3.5555 -1.8289 5.4219
0.4031 -2.2998 3.0900
4.3446 -1.4489 9.2729
-2.3633 -0.0910 1.5191



(5)
Ca2SiAu (GGA-PBE, optimized geometry); formation energy without anion corrections = -0.23 eV per atom
1.0
-2.2341 -1.5430 2.3149
2.9606 -1.4883 1.3231
0.9167 6.4065 5.1550
Si Au Ca
1 1 2
Cartesian
0.5116 3.5757 2.8772
0.9997 2.9325 5.3982
0.8508 5.9465 4.7849
0.6560 0.5304 3.4653



(6)
CaSi2Au2 (GGA-PBE, optimized geometry); formation energy without anion corrections = -0.35 eV per atom
1.0
-0.8159 1.7648 3.8541
0.7637 -3.7994 1.9014
5.2000 0.2877 3.3866
Ca Si Au
1 2 2
Cartesian
0.0000 0.0000 0.0000
2.1789 0.5176 5.0592
2.9688 -2.2645 4.0829
1.3174 -0.6818 3.0086
3.8303 -1.0651 6.1336



(7)
Ca2SiAu (GGA-PBE, optimized geometry); formation energy without anion corrections = -0.22 eV per atom
1.0
-4.9475 -0.1754 0.7462
-2.6809 -3.7919 -1.8706
-1.9481 -3.4420 3.0696
Ca Au Si
2 1 1
Cartesian
0.0000 0.0000 0.0000
-2.3941 -1.8523 0.4863
-4.7882 -3.7046 0.9726
-7.1823 -5.5570 1.4589



(8)
Ca2SiAu (GGA-PBE, optimized geometry); formation energy without anion corrections = -0.47 eV per atom
1.0
6.2451 0.0717 0.0551
5.1953 3.4662 0.0551
1.8580 0.5746 4.4960
Au Si Ca
1 1 2
Cartesian
2.9951 0.9262 1.2965
7.0588 2.1829 2.1215
10.1566 3.1409 3.3672
11.1775 3.4566 0.2342



(9)
CaSi2Au2 (GGA-PBE, optimized geometry); formation energy without anion corrections = -0.48 eV per atom
1.0
4.3746 0.0000 0.0000
0.0000 4.3746 0.0000
2.1873 2.1873 5.0387
Au Si Ca
2 2 1
Cartesian
2.1873 4.3746 2.5193
4.3746 2.1873 2.5193
4.3746 4.3746 3.8862
2.1873 2.1873 1.1525
0.0000 0.0000 0.0000



(10)
Ca5Si2Au (GGA-PBE, optimized geometry); formation energy without anion corrections = -0.54 eV per atom
1.0
6.9011 0.0000 -3.2577
-1.5378 6.7275 -3.2577
0.1520 0.1906 9.2604
Au Si Ca
2 4 10
Cartesian
4.0984 5.1410 -0.2563
1.4168 1.7772 3.0014
0.1824 2.6054 -1.6288
1.3082 5.9692 -4.1521
4.0551 0.7583 -2.3633
5.1809 4.1221 -4.8865
0.0000 0.0000 0.0000
2.7498 4.7328 2.6813
2.7655 2.1854 0.0638
5.9880 3.1829 -2.0480
0.9733 5.5492 -1.0820
1.3194 0.3715 5.9389
4.1959 6.5467 -3.1938
-0.4727 3.7353 4.7931
2.6816 3.3638 -3.2577
4.5419 1.3690 3.8271



(11)
Ca3Si4Au2 (GGA-PBE, optimized geometry); formation energy without anion corrections = -0.60 eV per atom
1.0
-4.1475 -0.2971 0.4626
2.1312 -4.8176 -2.9061
1.0782 -2.6708 7.9521
Si Ca Au
4 3 2
Cartesian
0.4293 -1.5604 2.8468
1.0498 -5.2707 6.0272
-1.3674 -6.2250 2.6617
-1.9879 -2.5147 -0.5187
-1.3339 -3.5842 4.6584
0.3958 -4.2012 0.8501
0.0000 0.0000 0.0000
-1.7605 -1.9886 1.8578
0.8225 -5.7968 3.6507



(12)
Ca3SiAu (GGA-PBE, optimized geometry); formation energy without anion corrections = -0.18 eV per atom; energy above the most stable polymorph in this dataset = 0.000 eV/f.u.
1.0
5.5826 0.0000 0.0000
0.0000 5.5826 0.0000
0.0000 0.0000 5.5826
Si Ca Au
1 3 1
Cartesian
0.0000 0.0000 0.0000
0.0000 2.7913 0.0000
2.7913 0.0000 0.0000
0.0000 0.0000 2.7913
2.7913 2.7913 2.7913